Record 1
PBE with a Hubbard U NaV2SbO8, optimized geometry; DOS at the Fermi energy = 0.00 states/eV/cell
1.0
5.655 0.000 0.000
-2.827 4.897 0.000
0.000 0.000 6.619
Na V Sb O
1 2 1 8
direct
0.000 0.000 0.000
0.333 0.667 0.238
0.667 0.333 0.762
0.000 0.000 0.500
0.159 0.319 0.316
0.159 0.841 0.316
0.319 0.159 0.684
0.333 0.667 0.991
0.667 0.333 0.009
0.681 0.841 0.316
0.841 0.159 0.684
0.841 0.681 0.684

---

Record 2
PBE with a Hubbard U NaVSbO4, optimized geometry; DOS at the Fermi energy = 1.38 states/eV/cell
1.0
-3.178 3.347 4.469
3.178 -3.347 4.469
3.178 3.347 -4.469
Na V Sb O
2 2 2 8
direct
0.385 0.135 0.250
0.615 0.865 0.750
0.000 0.000 0.500
0.000 0.500 0.000
0.000 0.500 0.500
0.500 0.500 0.000
0.189 0.734 0.455
0.221 0.266 0.955
0.232 0.266 0.534
0.232 0.699 0.966
0.768 0.301 0.034
0.768 0.734 0.466
0.779 0.734 0.045
0.811 0.266 0.545

---

Record 3
Below is a relaxed structure of NaVSb2O8, with properties calculated at the PBE with a Hubbard U level.

The structure in POSCAR format:
```
NaVSb2O8
1.0
3.284 -3.472 0.000
3.284 3.472 0.000
0.000 0.000 6.243
Na V Sb O
1 1 2 8
direct
0.000 0.000 0.000
0.000 0.000 0.500
0.500 0.500 0.250
0.500 0.500 0.750
0.197 0.197 0.289
0.197 0.197 0.711
0.303 0.697 0.500
0.318 0.682 0.000
0.682 0.318 0.000
0.697 0.303 0.500
0.803 0.803 0.289
0.803 0.803 0.711
```

---

Record 4
Below is a relaxed structure of NaSbWO7, with properties calculated at the PBE with a Hubbard U level.

The structure in POSCAR format:
```
NaSbWO7
1.0
-3.652 3.749 5.154
3.652 -3.749 5.154
3.652 3.749 -5.154
Na Sb W O
2 2 2 14
direct
0.000 0.000 0.000
0.500 0.000 0.500
0.500 0.000 0.000
0.500 0.500 0.500
0.000 0.500 0.500
0.500 0.500 0.000
0.045 0.795 0.250
0.183 0.430 0.372
0.183 0.811 0.753
0.186 0.436 0.750
0.420 0.170 0.250
0.442 0.189 0.872
0.442 0.570 0.253
0.558 0.430 0.747
0.558 0.811 0.128
0.580 0.830 0.750
0.814 0.564 0.250
0.817 0.189 0.247
0.817 0.570 0.628
0.955 0.205 0.750
```

---

Record 5
PBE with a Hubbard U NaSb2WO8, optimized geometry; DOS at the Fermi energy = 1.33 states/eV/cell
1.0
3.371 -3.488 0.000
3.371 3.488 0.000
0.000 0.000 6.477
Na Sb W O
1 2 1 8
direct
0.000 0.000 0.000
0.500 0.500 0.243
0.500 0.500 0.757
0.000 0.000 0.500
0.198 0.198 0.285
0.198 0.198 0.715
0.295 0.705 0.500
0.319 0.681 0.000
0.681 0.319 0.000
0.705 0.295 0.500
0.802 0.802 0.285
0.802 0.802 0.715

---

Record 6
PBE with a Hubbard U NaSb2WO6, optimized geometry; DOS at the Fermi energy = 0.00 states/eV/cell
1.0
5.754 0.000 0.000
-2.460 5.243 0.000
-2.743 -1.758 5.294
Na Sb W O
1 2 1 6
direct
0.000 0.000 0.000
0.389 0.172 0.693
0.495 0.683 0.305
0.068 0.558 0.510
0.062 0.401 0.218
0.082 0.880 0.360
0.089 0.276 0.680
0.203 0.839 0.803
0.536 0.745 0.643
0.621 0.402 0.357

---

These records have VASP energy values of -6.715 -6.329 -6.227 -6.065 -6.276 -6.247 eV per atom, in the order they appear.